An optimized crystal structure of Li8Ag5Sn, computed with GGA-PBE.

Properties
Crystal system: tetragonal
Energy, eV per cell: -35.4
Space-group type: I-4
DFT formation energy, eV/atom: -0.131

```
14
Lattice="-4.9660 2.0712 -4.2253 4.8831 -3.2725 -3.5000 -2.8023 -4.1780 4.6363" Properties=species:S:1:pos:R:3 pbc="T T T"
Sn -0.9017 -4.2519 0.6709
Li -0.8286 -5.4200 -1.7641
Li -6.1543 -1.0706 -1.1081
Li -3.8235 -3.7886 0.1270
Li -3.4152 -0.8102 -2.4800
Li 1.7879 -4.2279 -0.6755
Li -1.4911 -1.8797 -0.4798
Li -0.3197 -1.9319 -3.1494
Li 2.7035 -2.3883 -2.8260
Ag -3.7835 -3.6949 2.9532
Ag -0.5159 -2.0680 -5.9674
Ag -2.5935 -3.5152 -2.4043
Ag -3.8842 -1.0534 0.2055
Ag 1.1224 -1.4806 -0.7596
```

=====

An optimized crystal structure of Li4Ag5Sn, computed with GGA-PBE.

Properties
Crystal system: monoclinic
Energy, eV per cell: -27.0
Space-group type: C2/m
DFT formation energy, eV/atom: -0.105
ΔE to the lowest computed polymorph, meV per atom: 0

```
10
Lattice="-3.8189 2.5013 -1.2056 -4.4383 -7.9413 -2.4172 2.4403 2.1013 5.8753" Properties=species:S:1:pos:R:3 pbc="T T T"
Ag -3.3253 0.3701 2.0552
Ag -4.1286 -2.7200 -1.8114
Ag -0.7963 -0.6526 1.1683
Ag -2.4915 -3.7088 0.1974
Ag -5.0206 -2.6862 1.0842
Li -3.4764 -0.9305 -0.1645
Li -2.3404 -2.4083 2.4170
Li -3.6428 -6.0321 -0.9760
Li -2.1741 2.6934 3.2285
Sn -1.9094 1.2506 -0.6028
```

=====

An optimized crystal structure of Li2AgSn2, computed with GGA-PBE.

Properties
Crystal system: monoclinic
Energy, eV per cell: -31.4
Space-group type: C2/m
DFT formation energy, eV/atom: -0.201

```
10
Lattice="4.6512 0.0000 0.0000 2.3256 5.0714 0.2555 2.3256 1.1651 9.3250" Properties=species:S:1:pos:R:3 pbc="T T T"
Li 4.6512 4.1047 3.5312
Li 6.9768 5.1347 8.6350
Li 4.6512 2.1318 6.0493
Li 2.3256 1.1018 0.9455
Sn 6.9768 4.1021 5.8529
Sn 6.9768 2.2274 8.3113
Sn 2.3256 2.1344 3.7276
Sn 2.3256 4.0091 1.2693
Ag 4.6512 0.8266 3.0737
Ag 4.6512 5.4099 6.5068
```

=====

An optimized crystal structure of LiAg7Sn3, computed with GGA-PBE.

Properties
Crystal system: monoclinic
Energy, eV per cell: -32.9
Space-group type: C2/m
DFT formation energy, eV/atom: 0.086

```
11
Lattice="5.3761 -0.3553 -0.4550 -2.9451 6.8079 0.6537 -2.9451 -1.0163 6.7633" Properties=species:S:1:pos:R:3 pbc="T T T"
Ag -2.9451 2.8958 3.7085
Ag -1.2316 4.3224 5.5354
Ag -0.1749 -0.1698 3.8133
Ag -0.3392 5.6062 3.1487
Ag 0.7175 1.1140 1.4266
Ag -0.1749 3.7407 0.7597
Ag -0.3392 1.6956 6.2023
Sn -2.9451 0.7257 5.4030
Sn -2.9451 5.0659 2.0140
Sn 2.6881 -0.1776 -0.2275
Li -0.2571 2.7182 3.4810
```

=====

- Which of these has the highest energy?
  Li4Ag5Sn